Record 1
VASP calculation (PBE) on a relaxed structure of PrSm8Hg2.

Summary:
formation enthalpy at 0 K = -52 meV per atom
space group = C2/m (12)

Cell and atoms, written as POSCAR:
```
PrSm8Hg2
1.0
7.818 -3.459 0.000
7.818 3.459 0.000
-1.258 0.000 6.572
Pr Sm Hg
1 8 2
Cartesian
0.000 0.000 0.000
5.477 1.634 3.845
2.214 0.000 5.458
8.901 1.634 2.727
6.349 0.000 0.627
8.030 0.000 5.945
5.477 -1.634 3.845
12.165 0.000 1.114
8.901 -1.634 2.727
3.464 0.000 1.979
10.914 0.000 4.592
```



Record 2
VASP calculation (PBE) on a relaxed structure of Sm2BeGaPt6.

Summary:
formation enthalpy at 0 K = -659 meV per atom
space group = Fm-3m (225)

Cell and atoms, written as POSCAR:
```
Sm2BeGaPt6
1.0
0.000 4.553 4.553
4.553 0.000 4.553
4.553 4.553 0.000
Sm Be Ga Pt
2 1 1 6
Cartesian
2.276 2.276 2.276
6.829 6.829 6.829
0.000 0.000 0.000
4.553 4.553 4.553
4.553 4.553 2.145
4.553 2.145 4.553
6.960 4.553 4.553
2.145 4.553 4.553
4.553 6.960 4.553
4.553 4.553 6.960
```



Record 3
VASP calculation (PBE) on a relaxed structure of KNaMg3.

Summary:
formation enthalpy at 0 K = 453 meV per atom
space group = Pm-3m (221)

Cell and atoms, written as POSCAR:
```
KNaMg3
1.0
5.806 0.000 0.000
0.000 5.806 0.000
0.000 0.000 5.806
K Na Mg
1 1 3
Cartesian
0.000 0.000 0.000
2.903 2.903 2.903
0.000 2.903 2.903
2.903 0.000 2.903
2.903 2.903 0.000
```



Record 4
VASP calculation (PBE) on a relaxed structure of MgCuRe.

Summary:
formation enthalpy at 0 K = 267 meV per atom
space group = P3m1 (156)

Cell and atoms, written as POSCAR:
```
MgCuRe
1.0
2.758 0.000 0.000
-1.379 2.389 0.000
0.000 0.000 6.818
Mg Cu Re
1 1 1
Cartesian
0.000 0.000 0.000
0.000 1.592 4.573
1.379 0.796 2.397
```



Record 5
VASP calculation (PBE) on a relaxed structure of Pr4AgSe5.

Summary:
DFT total energy = -5.501 eV per atom
space group = R-3m (166)

Cell and atoms, written as POSCAR:
```
Pr4AgSe5
1.0
2.140 1.235 16.990
-2.140 1.235 16.990
0.000 -2.471 16.990
Pr Ag Se
4 1 5
Cartesian
0.000 0.000 5.235
0.000 0.000 15.250
0.000 0.000 35.720
0.000 0.000 45.734
0.000 0.000 25.485
0.000 0.000 0.000
0.000 0.000 10.079
0.000 0.000 20.478
0.000 0.000 30.492
0.000 0.000 40.891
```



Record 6
VASP calculation (PBE) on a relaxed structure of Nd3TaSe6.

Summary:
DFT total energy = -6.118 eV per atom
space group = Cmc2_1 (36)

Cell and atoms, written as POSCAR:
```
Nd3TaSe6
1.0
5.789 -7.117 0.000
5.789 7.117 0.000
0.000 0.000 6.955
Nd Ta Se
6 2 12
Cartesian
5.789 5.783 3.478
3.743 1.328 4.148
3.743 -1.328 0.671
7.836 1.328 4.148
7.836 -1.328 0.671
5.789 -5.783 0.000
5.789 2.734 1.040
5.789 -2.734 4.518
3.869 3.769 2.171
1.882 0.478 2.073
1.882 -0.478 5.550
5.789 3.153 5.556
7.710 3.769 2.171
5.789 0.411 2.019
5.789 -0.411 5.496
3.869 -3.769 5.649
5.789 -3.153 2.078
9.697 0.478 2.073
9.697 -0.478 5.550
7.710 -3.769 5.649
```



Record 7
VASP calculation (PBE) on a relaxed structure of CaTa2Os.

Summary:
formation enthalpy at 0 K = 603 meV per atom
space group = P4/mmm (123)

Cell and atoms, written as POSCAR:
```
CaTa2Os
1.0
4.783 0.000 0.000
0.000 4.783 0.000
0.000 0.000 3.172
Ca Ta Os
1 2 1
Cartesian
0.000 0.000 0.000
0.000 2.391 1.586
2.391 0.000 1.586
2.391 2.391 0.000
```



Record 8
VASP calculation (PBE) on a relaxed structure of La3Sn4.

Summary:
formation enthalpy at 0 K = -769 meV per atom
space group = Cmcm (63)

Cell and atoms, written as POSCAR:
```
La3Sn4
1.0
2.282 -5.990 0.000
2.282 5.990 0.000
0.000 0.000 16.008
La Sn
6 8
Cartesian
2.282 5.462 12.006
2.282 2.063 9.565
2.282 2.063 14.447
2.282 -2.063 1.561
2.282 -2.063 6.443
2.282 -5.462 4.002
0.000 0.000 0.000
0.000 0.000 8.004
2.282 3.280 4.002
2.282 1.392 1.717
2.282 1.392 6.287
2.282 -1.392 9.721
2.282 -1.392 14.291
2.282 -3.280 12.006
```



Record 9
VASP calculation (PBE) on a relaxed structure of Pm14DyIn.

Summary:
formation enthalpy at 0 K = -38 meV per atom
space group = P4/mmm (123)

Cell and atoms, written as POSCAR:
```
Pm14DyIn
1.0
7.205 0.000 0.000
0.000 7.205 0.000
0.000 0.000 10.236
Pm Dy In
14 1 1
Cartesian
0.000 0.000 0.000
0.000 3.602 0.000
0.000 3.602 5.118
1.789 1.789 2.607
1.789 1.789 7.629
1.789 5.416 2.607
1.789 5.416 7.629
3.602 0.000 0.000
3.602 0.000 5.118
3.602 3.602 0.000
5.416 1.789 2.607
5.416 1.789 7.629
5.416 5.416 2.607
5.416 5.416 7.629
3.602 3.602 5.118
0.000 0.000 5.118
```



Record 10
VASP calculation (PBE) on a relaxed structure of Ac3Tc2N8.

Summary:
DFT total energy = -8.294 eV per atom
space group = R-3m (166)

Cell and atoms, written as POSCAR:
```
Ac3Tc2N8
1.0
2.892 1.670 7.130
-2.892 1.670 7.130
0.000 -3.340 7.130
Ac Tc N
3 2 8
Cartesian
0.000 0.000 0.000
0.000 0.000 4.380
0.000 0.000 17.010
0.000 0.000 8.705
0.000 0.000 12.685
-1.478 -0.853 12.058
0.000 -1.706 9.332
-1.478 0.853 9.332
0.000 0.000 6.900
0.000 0.000 14.491
1.478 -0.853 12.058
0.000 1.706 12.058
1.478 0.853 9.332
```



Record 11
VASP calculation (PBE) on a relaxed structure of AsIr2Pb.

Summary:
formation enthalpy at 0 K = 529 meV per atom
space group = I-4m2 (119)

Cell and atoms, written as POSCAR:
```
AsIr2Pb
1.0
-1.958 1.958 4.648
1.958 -1.958 4.648
1.958 1.958 -4.648
As Ir Pb
1 2 1
Cartesian
0.000 0.000 0.000
1.958 0.000 2.324
0.000 0.000 4.648
0.000 1.958 2.324
```



Record 12
VASP calculation (PBE) on a relaxed structure of Er4Ag2Hg.

Summary:
formation enthalpy at 0 K = -67 meV per atom
space group = R-3m (166)

Cell and atoms, written as POSCAR:
```
Er4Ag2Hg
1.0
2.437 1.407 9.534
-2.437 1.407 9.534
0.000 -2.814 9.534
Er Ag Hg
4 2 1
Cartesian
0.000 0.000 3.459
0.000 0.000 8.478
0.000 0.000 20.125
0.000 0.000 25.144
0.000 0.000 11.444
0.000 0.000 17.159
0.000 0.000 14.301
```